Pr7InSe5 after structural relaxation. Source: the Alexandria database, functional PBE.

The value obtained for the formation energy (no corrections) is -1.500 eV/atom. The total magnetic moment comes out at 0.0 μB/cell. The density of states at the Fermi level is 18.5 states/eV/cell.

Cell: 7.382 7.382 25.485 Å, 90.02 90.02 33.39°
Fractional positions:
1 Pr 0.021 0.021 0.250
2 Pr 0.137 0.137 0.536
3 Pr 0.137 0.137 0.964
4 Pr 0.316 0.316 0.176
5 Pr 0.316 0.316 0.324
6 Pr 0.409 0.409 0.612
7 Pr 0.409 0.409 0.888
8 Pr 0.591 0.591 0.112
9 Pr 0.591 0.591 0.388
10 Pr 0.684 0.684 0.676
11 Pr 0.684 0.684 0.824
12 Pr 0.863 0.863 0.036
13 Pr 0.863 0.863 0.464
14 Pr 0.979 0.979 0.750
15 In 0.307 0.307 0.750
16 In 0.693 0.693 0.250
17 Se 0.049 0.049 0.641
18 Se 0.049 0.049 0.859
19 Se 0.225 0.225 0.071
20 Se 0.225 0.225 0.429
21 Se 0.500 0.500 0.000
22 Se 0.500 0.500 0.500
23 Se 0.775 0.775 0.571
24 Se 0.775 0.775 0.929
25 Se 0.951 0.951 0.141
26 Se 0.951 0.951 0.359